Entry 1:
# Y2Rh7 | Alexandria | GGA-PBE | optimized geometry
# **Space-group type**: R-3m
# **E_tot**: -7.638 eV per atom
# **Total magnetic moment**: 0.000 μB per atom
data_Y2Rh7
_cell_length_a 13.469
_cell_length_b 13.469
_cell_length_c 13.469
_cell_angle_alpha 22.49
_cell_angle_beta 22.49
_cell_angle_gamma 22.49
_space_group_name_H-M_alt 'P 1'
_space_group_IT_number 1
_space_group_name_Hall 'P 1'
loop_
_atom_site_label
_atom_site_type_symbol
_atom_site_fract_x
_atom_site_fract_y
_atom_site_fract_z
Y1 Y 0.050 0.050 0.050
Y2 Y 0.147 0.147 0.147
Y3 Y 0.853 0.853 0.853
Y4 Y 0.950 0.950 0.950
Rh1 Rh 0.000 0.500 0.500
Rh2 Rh 0.109 0.611 0.611
Rh3 Rh 0.278 0.278 0.278
Rh4 Rh 0.389 0.389 0.389
Rh5 Rh 0.389 0.389 0.891
Rh6 Rh 0.389 0.891 0.389
Rh7 Rh 0.500 0.000 0.500
Rh8 Rh 0.500 0.500 0.000
Rh9 Rh 0.500 0.500 0.500
Rh10 Rh 0.611 0.109 0.611
Rh11 Rh 0.611 0.611 0.109
Rh12 Rh 0.611 0.611 0.611
Rh13 Rh 0.722 0.722 0.722
Rh14 Rh 0.891 0.389 0.389

Entry 2:
# NaHo2SnO5 | Alexandria | GGA-PBE | optimized geometry
# **Space-group type**: Immm
# **E_tot**: -6.788 eV per atom
# **Total magnetic moment**: 0.000 μB per atom
data_NaHo2SnO5
_cell_length_a 6.863
_cell_length_b 6.863
_cell_length_c 6.863
_cell_angle_alpha 145.62
_cell_angle_beta 129.98
_cell_angle_gamma 62.11
_space_group_name_H-M_alt 'P 1'
_space_group_IT_number 1
_space_group_name_Hall 'P 1'
loop_
_atom_site_label
_atom_site_type_symbol
_atom_site_fract_x
_atom_site_fract_y
_atom_site_fract_z
Na1 Na 0.000 0.000 0.000
Ho1 Ho 0.285 0.785 0.500
Ho2 Ho 0.715 0.215 0.500
Sn1 Sn 0.500 0.500 0.000
O1 O 0.111 0.341 0.770
O2 O 0.429 0.659 0.770
O3 O 0.500 0.000 0.500
O4 O 0.571 0.341 0.230
O5 O 0.889 0.659 0.230